1.
Density functional theory data (PBE-GGA) for crystalline Li3HfSi at its relaxed geometry.

Values from the calculation:
ΔE_f (raw) in kJ/mol of atoms: 50.78
ΔE to the lowest computed polymorph in meV per atom: 0
Total magnetization in μB/atom: 0.000

Unit cell a=4.4220 b=4.4220 c=4.4220 alpha=90.00 beta=90.00 gamma=90.00
Atoms (fractional coordinates):
Li  0.0000  0.0000  0.5000
Li  0.0000  0.5000  0.0000
Li  0.5000  0.0000  0.0000
Hf  0.5000  0.5000  0.5000
Si  0.0000  0.0000  0.0000

***

2.
Density functional theory data (PBE-GGA) for crystalline YTa5 at its relaxed geometry.

Values from the calculation:
ΔE to the lowest computed polymorph in meV per atom: 90
E_form in eV/atom: 0.354
Total magnetization in μB/atom: 0.000

Unit cell a=12.8480 b=2.9821 c=6.5563 alpha=90.00 beta=104.99 gamma=90.00
Atoms (fractional coordinates):
Y  0.0000  0.0000  0.0000
Y  0.5000  0.5000  0.0000
Ta  0.1326  0.5000  0.7392
Ta  0.1777  0.5000  0.3574
Ta  0.2838  0.0000  0.0912
Ta  0.3268  0.0000  0.6553
Ta  0.4524  0.5000  0.4308
Ta  0.6327  0.0000  0.7392
Ta  0.6777  0.0000  0.3574
Ta  0.7838  0.5000  0.0912
Ta  0.8268  0.5000  0.6553
Ta  0.9524  0.0000  0.4308

***

3.
Density functional theory data (PBE-GGA) for crystalline LiAlFe at its relaxed geometry.

Values from the calculation:
E_form in eV/atom: 0.015
Total magnetization in μB/atom: 0.606

Unit cell a=2.6161 b=3.7272 c=8.0170 alpha=90.00 beta=90.00 gamma=90.00
Atoms (fractional coordinates):
Li  0.0000  0.0000  0.0000
Li  0.5000  0.5000  0.5000
Al  0.0000  0.0000  0.6729
Al  0.5000  0.5000  0.1729
Fe  0.0000  0.0000  0.3284
Fe  0.5000  0.5000  0.8284

***

4.
Density functional theory data (PBE-GGA) for crystalline SrAlNi2 at its relaxed geometry.

Values from the calculation:
E_form in eV/atom: -0.101
Total magnetization in μB/atom: 0.000

Unit cell a=3.0925 b=3.2638 c=6.8063 alpha=90.00 beta=90.00 gamma=90.00
Atoms (fractional coordinates):
Sr  0.0000  0.0000  0.0000
Al  0.0000  0.0000  0.5000
Ni  0.5000  0.5000  0.3208
Ni  0.5000  0.5000  0.6792

***

5.
Density functional theory data (PBE-GGA) for crystalline BaThNbN3 at its relaxed geometry.

Values from the calculation:
ΔE_f (raw) in kJ/mol of atoms: -95.53
Total magnetization in μB/atom: 0.000

Unit cell a=7.4943 b=3.6614 c=9.5795 alpha=90.00 beta=99.41 gamma=90.00
Atoms (fractional coordinates):
Ba  0.1758  0.2500  0.2109
Ba  0.8242  0.7500  0.7891
Th  0.1881  0.2500  0.6018
Th  0.8119  0.7500  0.3982
Nb  0.4125  0.7500  0.8926
Nb  0.5875  0.2500  0.1074
N  0.1240  0.7500  0.4325
N  0.1810  0.7500  0.7714
N  0.4609  0.7500  0.1301
N  0.5391  0.2500  0.8699
N  0.8190  0.2500  0.2286
N  0.8760  0.2500  0.5675

***

6.
Density functional theory data (PBE-GGA) for crystalline AsRu2 at its relaxed geometry.

Values from the calculation:
E_form in eV/atom: 0.008
Total magnetization in μB/atom: 0.000

Unit cell a=10.3809 b=2.8768 c=6.2194 alpha=90.00 beta=110.03 gamma=90.00
Atoms (fractional coordinates):
As  0.1957  0.0000  0.1698
As  0.3043  0.5000  0.8302
As  0.6957  0.5000  0.1698
As  0.8043  0.0000  0.8302
Ru  0.0606  0.5000  0.8343
Ru  0.1305  0.0000  0.5086
Ru  0.3695  0.5000  0.4914
Ru  0.4394  0.0000  0.1657
Ru  0.5606  0.0000  0.8343
Ru  0.6305  0.5000  0.5086
Ru  0.8695  0.0000  0.4914
Ru  0.9394  0.5000  0.1657

***

7.
Density functional theory data (PBE-GGA) for crystalline Tb2MnP3Ir4 at its relaxed geometry.

Values from the calculation:
E_form in eV/atom: -0.894
Total magnetization in μB/atom: 0.172

Unit cell a=4.0621 b=4.0621 c=9.8980 alpha=90.00 beta=90.00 gamma=90.00
Atoms (fractional coordinates):
Tb  0.0000  0.5000  0.2480
Tb  0.5000  0.0000  0.7520
Mn  0.5000  0.5000  0.0000
P  0.0000  0.0000  0.0000
P  0.0000  0.5000  0.6387
P  0.5000  0.0000  0.3613
Ir  0.0000  0.0000  0.5000
Ir  0.0000  0.5000  0.8704
Ir  0.5000  0.0000  0.1296
Ir  0.5000  0.5000  0.5000

***

8.
Density functional theory data (PBE-GGA) for crystalline In2NiAs at its relaxed geometry.

Values from the calculation:
E_form in eV/atom: -0.043
Total magnetization in μB/atom: 0.000

Unit cell a=4.1157 b=4.0236 c=5.3176 alpha=90.00 beta=112.45 gamma=90.00
Atoms (fractional coordinates):
In  0.0000  0.0000  0.0000
In  0.2981  0.5000  0.6083
Ni  0.7032  0.0000  0.4533
As  0.5982  0.5000  0.1924

***

9.
Density functional theory data (PBE-GGA) for crystalline NdScPd6 at its relaxed geometry.

Values from the calculation:
E_form in eV/atom: -0.794
Total magnetization in μB/atom: 0.000

Unit cell a=4.1368 b=4.1368 c=8.1025 alpha=90.00 beta=90.00 gamma=90.00
Atoms (fractional coordinates):
Nd  0.0000  0.0000  0.0000
Sc  0.0000  0.0000  0.5000
Pd  0.0000  0.5000  0.2650
Pd  0.0000  0.5000  0.7350
Pd  0.5000  0.0000  0.2650
Pd  0.5000  0.0000  0.7350
Pd  0.5000  0.5000  0.0000
Pd  0.5000  0.5000  0.5000

***

10.
Density functional theory data (PBE-GGA) for crystalline EuHoZnAu at its relaxed geometry.

Values from the calculation:
E_form in eV/atom: -0.527
Total magnetization in μB/atom: 1.782

Unit cell a=7.2971 b=7.2971 c=7.2971 alpha=90.00 beta=90.00 gamma=90.00
Atoms (fractional coordinates):
Eu  0.0000  0.0000  0.0000
Eu  0.0000  0.5000  0.5000
Eu  0.5000  0.0000  0.5000
Eu  0.5000  0.5000  0.0000
Ho  0.0000  0.0000  0.5000
Ho  0.0000  0.5000  0.0000
Ho  0.5000  0.0000  0.0000
Ho  0.5000  0.5000  0.5000
Zn  0.2500  0.2500  0.7500
Zn  0.2500  0.7500  0.2500
Zn  0.7500  0.2500  0.2500
Zn  0.7500  0.7500  0.7500
Au  0.2500  0.2500  0.2500
Au  0.2500  0.7500  0.7500
Au  0.7500  0.2500  0.7500
Au  0.7500  0.7500  0.2500

***

11.
Density functional theory data (PBE-GGA) for crystalline CeGdGaPd at its relaxed geometry.

Values from the calculation:
E_form in eV/atom: -0.575
Total magnetization in μB/atom: 1.637

Unit cell a=7.2223 b=7.2223 c=7.2223 alpha=90.00 beta=90.00 gamma=90.00
Atoms (fractional coordinates):
Ce  0.0000  0.0000  0.0000
Ce  0.0000  0.5000  0.5000
Ce  0.5000  0.0000  0.5000
Ce  0.5000  0.5000  0.0000
Gd  0.0000  0.0000  0.5000
Gd  0.0000  0.5000  0.0000
Gd  0.5000  0.0000  0.0000
Gd  0.5000  0.5000  0.5000
Ga  0.2500  0.2500  0.7500
Ga  0.2500  0.7500  0.2500
Ga  0.7500  0.2500  0.2500
Ga  0.7500  0.7500  0.7500
Pd  0.2500  0.2500  0.2500
Pd  0.2500  0.7500  0.7500
Pd  0.7500  0.2500  0.7500
Pd  0.7500  0.7500  0.2500

***

12.
Density functional theory data (PBE-GGA) for crystalline YTa2I at its relaxed geometry.

Values from the calculation:
ΔE_f (raw) in kJ/mol of atoms: 66.57
ΔE to the lowest computed polymorph in meV per atom: 0
Total magnetization in μB/atom: 0.000

Unit cell a=4.1375 b=4.1375 c=22.2108 alpha=90.00 beta=90.00 gamma=90.00
Atoms (fractional coordinates):
Y  0.0000  0.0000  0.0000
Y  0.0000  0.5000  0.2500
Y  0.5000  0.0000  0.7500
Y  0.5000  0.5000  0.5000
Ta  0.2490  0.2500  0.1250
Ta  0.2500  0.7490  0.3750
Ta  0.2500  0.7510  0.8750
Ta  0.2510  0.2500  0.6250
Ta  0.7490  0.7500  0.6250
Ta  0.7500  0.2490  0.8750
Ta  0.7500  0.2510  0.3750
Ta  0.7510  0.7500  0.1250
I  0.0000  0.0000  0.5000
I  0.0000  0.5000  0.7500
I  0.5000  0.0000  0.2500
I  0.5000  0.5000  0.0000

***

13.
Density functional theory data (PBE-GGA) for crystalline NiPtSe2 at its relaxed geometry.

Values from the calculation:
ΔE_f (raw) in kJ/mol of atoms: -21.26
Total magnetization in μB/atom: 0.156

Unit cell a=3.6746 b=3.9032 c=11.4902 alpha=90.00 beta=90.00 gamma=90.00
Atoms (fractional coordinates):
Ni  0.0000  0.0000  0.0000
Ni  0.5000  0.5000  0.5000
Pt  0.0000  0.0000  0.5000
Pt  0.5000  0.5000  0.0000
Se  0.0000  0.5000  0.3611
Se  0.0000  0.5000  0.6389
Se  0.5000  0.0000  0.1389
Se  0.5000  0.0000  0.8611

***

14.
Density functional theory data (PBE-GGA) for crystalline Y2TcRu at its relaxed geometry.

Values from the calculation:
E_form in eV/atom: -0.004
Total magnetization in μB/atom: 0.248

Unit cell a=3.4200 b=3.4200 c=6.9249 alpha=90.00 beta=90.00 gamma=90.00
Atoms (fractional coordinates):
Y  0.0000  0.0000  0.2450
Y  0.0000  0.0000  0.7550
Tc  0.5000  0.5000  0.5000
Ru  0.5000  0.5000  0.0000

***

15.
Density functional theory data (PBE-GGA) for crystalline MgCuOsBr2 at its relaxed geometry.

Values from the calculation:
ΔE_f (raw) in kJ/mol of atoms: 85.30
Total magnetization in μB/atom: 0.000

Unit cell a=4.9163 b=4.9163 c=5.3689 alpha=90.00 beta=90.00 gamma=90.00
Atoms (fractional coordinates):
Mg  0.0000  0.0000  0.0000
Cu  0.5000  0.5000  0.0000
Os  0.0000  0.0000  0.5000
Br  0.0000  0.5000  0.5000
Br  0.5000  0.0000  0.5000

***

16.
Density functional theory data (PBE-GGA) for crystalline Mn2Pb2Br at its relaxed geometry.

Values from the calculation:
ΔE_f (raw) in kJ/mol of atoms: 27.05
ΔE to the lowest computed polymorph in meV per atom: 0
Total magnetization in μB/atom: 1.480

Unit cell a=7.4191 b=7.4191 c=4.2544 alpha=90.00 beta=90.00 gamma=90.00
Atoms (fractional coordinates):
Mn  0.1307  0.3693  0.0000
Mn  0.3693  0.8693  0.0000
Mn  0.6307  0.1307  0.0000
Mn  0.8693  0.6307  0.0000
Pb  0.1590  0.6590  0.5000
Pb  0.3410  0.1590  0.5000
Pb  0.6590  0.8410  0.5000
Pb  0.8410  0.3410  0.5000
Br  0.0000  0.0000  0.0000
Br  0.5000  0.5000  0.0000

***

17.
Density functional theory data (PBE-GGA) for crystalline TaCuAsO6 at its relaxed geometry.

Values from the calculation:
ΔE_f (raw) in kJ/mol of atoms: -147.43
Total magnetization in μB/atom: 0.112

Unit cell a=5.0862 b=5.0862 c=8.9630 alpha=90.00 beta=90.00 gamma=120.00
Atoms (fractional coordinates):
Ta  0.3333  0.6667  0.2500
Ta  0.6667  0.3333  0.7500
Cu  0.0000  0.0000  0.0000
Cu  0.0000  0.0000  0.5000
As  0.3333  0.6667  0.7500
As  0.6667  0.3333  0.2500
O  0.0199  0.3676  0.6348
O  0.0199  0.6523  0.8652
O  0.3477  0.3676  0.8652
O  0.3477  0.9801  0.6348
O  0.3676  0.0199  0.1348
O  0.3676  0.3477  0.3652
O  0.6324  0.6523  0.6348
O  0.6324  0.9801  0.8652
O  0.6523  0.0199  0.3652
O  0.6523  0.6324  0.1348
O  0.9801  0.3477  0.1348
O  0.9801  0.6324  0.3652

***

18.
Density functional theory data (PBE-GGA) for crystalline Nd3TcC2 at its relaxed geometry.

Values from the calculation:
E_form in eV/atom: -0.026
Total magnetization in μB/atom: 0.000

Unit cell a=9.3341 b=9.3341 c=9.6216 alpha=113.58 beta=113.58 gamma=21.59
Atoms (fractional coordinates):
Nd  0.0559  0.0559  0.2374
Nd  0.1822  0.1822  0.6177
Nd  0.3498  0.3498  0.0271
Nd  0.6502  0.6502  0.9729
Nd  0.8178  0.8178  0.3823
Nd  0.9441  0.9441  0.7626
Tc  0.4528  0.4528  0.3561
Tc  0.5472  0.5472  0.6439
C  0.0860  0.0860  0.7610
C  0.4239  0.4239  0.5432
C  0.5761  0.5761  0.4568
C  0.9140  0.9140  0.2390

***

19.
Density functional theory data (PBE-GGA) for crystalline CeZnOs at its relaxed geometry.

Values from the calculation:
E_form in eV/atom: -0.174
Total magnetization in μB/atom: 0.000

Unit cell a=6.6196 b=5.7924 c=9.2021 alpha=90.00 beta=133.44 gamma=90.00
Atoms (fractional coordinates):
Ce  0.1960  0.1058  0.2693
Ce  0.1960  0.3942  0.7693
Ce  0.8040  0.6058  0.2307
Ce  0.8040  0.8942  0.7307
Zn  0.2680  0.6052  0.1736
Zn  0.2680  0.8948  0.6736
Zn  0.7320  0.1052  0.3264
Zn  0.7320  0.3948  0.8264
Os  0.3308  0.6369  0.4873
Os  0.3308  0.8631  0.9873
Os  0.6692  0.1369  0.0127
Os  0.6692  0.3631  0.5127

***

20.
Density functional theory data (PBE-GGA) for crystalline K2LaZrP at its relaxed geometry.

Values from the calculation:
E_form in eV/atom: 1.115
Total magnetization in μB/atom: 0.630

Unit cell a=7.1177 b=7.1177 c=5.2629 alpha=90.00 beta=90.00 gamma=90.00
Atoms (fractional coordinates):
K  0.0000  0.5000  0.0000
K  0.5000  0.0000  0.0000
La  0.0000  0.0000  0.0000
Zr  0.5000  0.5000  0.5000
P  0.0000  0.0000  0.5000

***

Sequential total DFT energy (no corrections) output: -18.5, -127.2, -28.1, -17.4, -100.7, -92.7, -79.0, -16.1, -48.6, -86.0, -122.1, -115.8, -39.3, -32.6, -15.8, -52.1, -128.2, -86.6, -75.8, -15.5 eV/cell